The following is a DFT calculation (PBE-GGA) of a geometry-optimized Pu2SbAs2 structure.

```
data_Pu2SbAs2
_chemical_formula_sum 'Pu4 Sb2 As4'
_cell_length_a 4.0017
_cell_length_b 4.0017
_cell_length_c 15.4453
_cell_angle_alpha 90.00
_cell_angle_beta 90.00
_cell_angle_gamma 90.00
_symmetry_space_group_name_H-M 'I 4/m m m'
_symmetry_Int_Tables_number 139
_symmetry_space_group_name_Hall '-I 4 2'
loop_
_atom_site_label
_atom_site_type_symbol
_atom_site_fract_x
_atom_site_fract_y
_atom_site_fract_z
Pu1 Pu 0.0000 0.0000 0.1311
Sb1 Sb 0.0000 0.0000 0.5000
As1 As 0.0000 0.0000 0.3199
```

Values from the calculation:
Theoretical density, g/cm³: 10.2
VASP energy, eV/atom: -9.064